Entry 1:
Material: CaSc2AuO
Method: DFT, PBE
State: relaxed

Geometry as extended XYZ:
```
5
Lattice="4.3822 0.0000 0.0000 0.0000 4.3822 0.0000 0.0000 0.0000 4.7940" Properties=species:S:1:pos:R:3 pbc="T T T"
Sc 0.0000 2.1911 0.0000
Sc 2.1911 0.0000 0.0000
Ca 0.0000 0.0000 2.3970
Au 2.1911 2.1911 2.3970
O 0.0000 0.0000 0.0000
```

Values from the calculation:
SG: P4/mmm, No. 123
DOS(E_F), states/eV per cell: 5.08
Formation energy from raw total energies, eV/atom: -1.463
Crystal system: tetragonal

---

Entry 2:
Material: RbNaTb2F8
Method: DFT, PBE
State: relaxed

Geometry as extended XYZ:
```
12
Lattice="3.9024 0.0024 -0.0007 -0.0053 6.1520 -0.0162 0.0015 -0.0040 7.7645" Properties=species:S:1:pos:R:3 pbc="T T T"
Rb 0.0008 -0.0020 3.8822
Na 0.0000 0.0000 0.0000
Tb 1.9497 3.0804 5.8587
Tb 1.9490 3.0699 1.8888
F -0.0029 4.3385 1.8269
F 1.9481 4.4149 -0.0057
F 3.9008 1.7912 1.8243
F 3.9016 1.8118 5.9206
F 1.9506 1.7354 7.7532
F -0.0022 4.3591 5.9232
F 1.9481 4.2960 3.8729
F 1.9505 1.8544 3.8746
```

Values from the calculation:
SG: P2/m, No. 10
DOS(E_F), states/eV per cell: 0.00
Formation energy from raw total energies, eV/atom: -3.669
Crystal system: monoclinic

---

Entry 3:
Material: SrNi2Os
Method: DFT, PBE
State: relaxed

Geometry as extended XYZ:
```
4
Lattice="-0.0094 3.9099 -1.5340 -0.7266 -0.9853 -2.5069 -5.9259 0.0528 0.1710" Properties=species:S:1:pos:R:3 pbc="T T T"
Ni -0.3835 -0.1583 -0.4012
Ni -1.7233 1.9215 -0.8417
Os -2.6947 -0.4637 -1.1652
Sr -5.1867 1.2117 -2.6297
```

Values from the calculation:
SG: Pm, No. 6
DOS(E_F), states/eV per cell: 2.85
Energy relative to the elements, eV per atom: 0.446
Crystal system: monoclinic

---

Entry 4:
Material: TcHgGeOsW
Method: DFT, PBE
State: relaxed

Geometry as extended XYZ:
```
10
Lattice="-0.2340 0.5923 -3.0692 -2.8354 -1.3356 -0.0416 -7.2405 15.2620 3.4972" Properties=species:S:1:pos:R:3 pbc="T T T"
Tc -5.4194 11.4234 2.6176
Tc -3.3339 3.4207 -0.6863
Hg -6.8682 14.4773 3.3174
Hg -4.7827 6.4746 0.0134
Ge -2.3333 4.9183 1.1270
Ge -7.4883 12.1776 1.3203
Os -4.1101 8.6636 1.9852
Os -2.0246 0.6609 -1.3187
W -1.0825 2.2817 0.5228
W -6.2374 9.5410 0.7161
```

Values from the calculation:
SG: I4mm, No. 107
DOS(E_F), states/eV per cell: 6.10
Energy relative to the elements, eV per atom: 0.249
Crystal system: tetragonal